1.
Entry from Alexandria via LeMat-Bulk: an optimized crystal structure of La2Ge6Ru (GGA-PBE).

Cell lengths 8.227, 10.951, 4.391 Å; angles 90.00, 90.00, 90.00 degrees
Space group Cmmm (No. 65)
Inequivalent atoms, fractional coordinates:
La 0.000 0.241 0.000
Ge 0.198 0.500 0.000
Ge 0.240 0.133 0.500
Ru 0.000 0.500 0.500

Computed properties:
Formation enthalpy at 0 K = -3.73 eV/f.u.
Size of the total moment = 0.000 μB per formula unit

2.
Entry from Alexandria via LeMat-Bulk: an optimized crystal structure of Ba3Be2GaO6 (GGA-PBE).

Cell lengths 5.5790, 5.5790, 7.1042 Å; angles 90.00, 90.00, 120.00 degrees
Space group P-3m1 (No. 164)
Inequivalent atoms, fractional coordinates:
Ba 0.0000 0.0000 0.0000
Ba 0.3333 0.6667 0.6811
Be 0.3333 0.6667 0.2915
Ga 0.0000 0.0000 0.5000
O 0.1716 0.3433 0.3208

Computed properties:
Formation energy (no corrections) = -2296.3 meV/atom
Size of the total moment = 0.001 μB per formula unit

3.
Entry from Alexandria via LeMat-Bulk: an optimized crystal structure of Ca2Dy2GaPd4 (GGA-PBE).

Cell lengths 6.891, 6.891, 8.724 Å; angles 90.00, 90.00, 90.00 degrees
Space group I4/mmm (No. 139)
Inequivalent atoms, fractional coordinates:
Ca 0.000 0.500 0.250
Dy 0.000 0.000 0.182
Ga 0.000 0.000 0.500
Pd 0.242 0.242 0.000

Computed properties:
Formation enthalpy at 0 K = -4.57 eV/f.u.
Size of the total moment = 0.000 μB per formula unit

- What is the size of the total moment in the first record?
  0.000 μB per formula unit

- Which of these has the highest size of the total moment?
  Ba3Be2GaO6

Repeat the second record exactly.
Entry from Alexandria via LeMat-Bulk: an optimized crystal structure of Ba3Be2GaO6 (GGA-PBE).

Cell lengths 5.5790, 5.5790, 7.1042 Å; angles 90.00, 90.00, 120.00 degrees
Space group P-3m1 (No. 164)
Inequivalent atoms, fractional coordinates:
Ba 0.0000 0.0000 0.0000
Ba 0.3333 0.6667 0.6811
Be 0.3333 0.6667 0.2915
Ga 0.0000 0.0000 0.5000
O 0.1716 0.3433 0.3208

Computed properties:
Formation energy (no corrections) = -2296.3 meV/atom
Size of the total moment = 0.001 μB per formula unit